# 1
Al5Si: PBEsol geometry, SCAN.

```
6
Lattice="5.216 0.000 0.000 -2.608 4.517 0.000 0.000 0.000 4.572" Properties=species:S:1:pos:R:3 pbc="T T T"
Al -1.304 2.259 0.000
Al 0.000 3.011 2.286
Al 2.608 0.000 0.000
Al 1.304 2.259 0.000
Al 2.608 1.506 2.286
Si 0.000 0.000 2.286
```

Properties
- Total moment: 0.003 μB/atom
- Distance to the lowest polymorph of the same formula: 318 meV/atom

# 2
V5Si3N: PBEsol geometry, SCAN.

```
18
Lattice="7.022 0.000 0.000 -3.511 6.081 0.000 0.000 0.000 4.913" Properties=species:S:1:pos:R:3 pbc="T T T"
V -0.800 1.386 1.228
V -2.711 4.695 3.685
V 1.600 0.000 1.228
V 0.800 1.386 3.685
V 0.000 4.054 0.000
V 0.000 4.054 2.456
V 3.511 2.027 0.000
V 3.511 2.027 2.456
V 5.422 0.000 3.685
V 2.711 4.695 1.228
Si -1.436 2.488 3.685
Si -2.075 3.593 1.228
Si 2.873 0.000 3.685
Si 1.436 2.488 1.228
Si 4.149 0.000 1.228
Si 2.075 3.593 3.685
N 0.000 0.000 0.000
N 0.000 0.000 2.456
```

Properties
- Total moment: 0.000 μB/atom

The following E_tot values (in eV/atom) correspond, in order, to the records above: -7.72; -14.85.